# 1
DFT (PBE-GGA) results for an optimized crystal structure of Li3TbMg9.

Computed properties:
Formation energy from the elements: -0.0412 eV per atom
DOS at the Fermi energy: 6.913 states/eV/f.u.
Final energy: -1.943 eV per atom
Space group: C2/m

abc: 7.7902 7.7902 7.7404
angles: 96.97 96.97 138.64
Closest atoms and distances in Å follow each position.
Fractional coordinates of all 13 atoms:
Li 0.0000 0.0000 0.0000  6 Mg 2.75-2.94
Li 0.0000 0.5000 0.5000  2 Li 2.75, 8 Mg 2.91-3.08
Li 0.5000 0.0000 0.5000  2 Li 2.75, 8 Mg 2.91-3.08
Tb 0.5000 0.5000 0.5000  14 Mg 3.50-3.87, 6 Li 3.90
Mg 0.0092 0.7945 0.2911  3 Li 2.91-2.94, 5 Mg 3.00-3.14
Mg 0.1497 0.5044 0.1525  3 Li 3.05-3.14, 6 Mg 3.06-3.38
Mg 0.2055 0.9908 0.7089  3 Li 2.91-2.94, 5 Mg 3.00-3.14
Mg 0.4956 0.8503 0.8475  3 Li 3.05-3.14, 6 Mg 3.06-3.38
Mg 0.5000 0.5000 0.0000  2 Li 2.75, 4 Mg 3.00
Mg 0.5044 0.1497 0.1525  3 Li 3.05-3.14, 6 Mg 3.06-3.38
Mg 0.7945 0.0092 0.2911  3 Li 2.91-2.94, 5 Mg 3.00-3.14
Mg 0.8503 0.4956 0.8475  3 Li 3.05-3.14, 6 Mg 3.06-3.38
Mg 0.9908 0.2055 0.7089  3 Li 2.91-2.94, 5 Mg 3.00-3.14



# 2
DFT (PBE-GGA) results for an optimized crystal structure of LiTb2Mg8.

Computed properties:
Formation energy from the elements: -0.0359 eV per atom
DOS at the Fermi energy: 7.005 states/eV/f.u.
Final energy: -2.211 eV per atom
Space group: C2/m

abc: 8.5347 8.5347 6.7542
angles: 101.22 101.22 33.73
Closest atoms and distances in Å follow each position.
Fractional coordinates of all 11 atoms:
Li 0.0000 0.0000 0.0000  8 Mg 2.88-3.14
Tb 0.2802 0.2802 0.3460  10 Mg 3.19-3.41, 2 Tb 3.50
Tb 0.7198 0.7198 0.6540  10 Mg 3.19-3.41, 2 Tb 3.50
Mg 0.0895 0.0895 0.4328  1 Li 2.99, 4 Mg 3.06-3.23, 1 Tb 3.28
Mg 0.1612 0.1612 0.8882  1 Li 2.88, 4 Mg 3.06-3.19, 2 Tb 3.19
Mg 0.3524 0.3524 0.8491  7 Mg 3.08-3.38, 3 Tb 3.36-3.38
Mg 0.4735 0.4735 0.2661  7 Mg 3.09-3.34, 2 Li 3.14, 1 Tb 3.31
Mg 0.5265 0.5265 0.7339  7 Mg 3.09-3.34, 2 Li 3.14, 1 Tb 3.31
Mg 0.6476 0.6476 0.1509  7 Mg 3.08-3.38, 3 Tb 3.36-3.38
Mg 0.8388 0.8388 0.1118  1 Li 2.88, 4 Mg 3.06-3.19, 2 Tb 3.19
Mg 0.9105 0.9105 0.5672  1 Li 2.99, 4 Mg 3.06-3.23, 1 Tb 3.28



# 3
DFT (PBE-GGA) results for an optimized crystal structure of LiTb2MgTe4.

Computed properties:
DOS at the Fermi energy: 3.060 states/eV/f.u.
Final energy: -4.336 eV per atom
Space group: P2/m
ΔE_f (raw): -1169 meV per atom

abc: 7.3875 4.2725 7.5955
angles: 90.00 108.68 90.00
Closest atoms and distances in Å follow each position.
Fractional coordinates of all 8 atoms:
Li 0.0000 0.0000 0.0000  6 Te 2.98-3.01
Tb 0.0000 0.5000 0.5000  6 Te 3.11-3.12
Tb 0.5000 0.0000 0.5000  6 Te 3.10-3.11
Mg 0.5000 0.5000 0.0000  6 Te 2.98-3.00
Te 0.2481 0.5000 0.2380  1 Mg 2.98, 2 Li 3.01, 3 Tb 3.10-3.11
Te 0.2548 0.0000 0.7644  1 Li 2.98, 2 Mg 3.00, 3 Tb 3.11-3.12
Te 0.7452 0.0000 0.2356  1 Li 2.98, 2 Mg 3.00, 3 Tb 3.11-3.12
Te 0.7519 0.5000 0.7620  1 Mg 2.98, 2 Li 3.01, 3 Tb 3.10-3.11